Record 1
{
  "formula": "Na2PuI5",
  "functional": "GGA-PBE",
  "state": "relaxed",
  "cell": [[3.1314, -7.7091, 0.0000], [3.1314, 7.7091, 0.0000], [0.0000, 0.0000, 15.5038]],
  "species": ["Na", "Na", "Na", "Na", "Pu", "Pu", "I", "I", "I", "I", "I", "I", "I", "I", "I", "I"],
  "fractional_positions": [[0.1558, 0.8442, 0.5544], [0.1558, 0.8442, 0.9456], [0.8442, 0.1558, 0.0544], [0.8442, 0.1558, 0.4456], [0.1933, 0.8067, 0.2500], [0.8067, 0.1933, 0.7500], [0.0480, 0.9520, 0.1187], [0.0480, 0.9520, 0.3813], [0.2742, 0.7258, 0.7500], [0.3199, 0.6801, 0.0904], [0.3199, 0.6801, 0.4096], [0.6801, 0.3199, 0.5904], [0.6801, 0.3199, 0.9096], [0.7258, 0.2742, 0.2500], [0.9520, 0.0480, 0.6187], [0.9520, 0.0480, 0.8813]],
  "relative_energy_mev_per_atom": 0,
  "dos_ef_per_ev_fu": 12.46,
  "space_group": "Cmcm (63)",
  "m_tot_mub_per_atom": 0.625
}

=====

Record 2
{
  "formula": "MnCoRu",
  "functional": "GGA-PBE",
  "state": "relaxed",
  "cell": [[2.5903, 0.0000, 0.0000], [-1.2951, 2.2432, 0.0000], [0.0000, 0.0000, 6.2184]],
  "species": ["Mn", "Co", "Ru"],
  "fractional_positions": [[0.0000, 0.0000, 0.0000], [0.3333, 0.6667, 0.6813], [0.6667, 0.3333, 0.3309]],
  "relative_energy_mev_per_atom": 53,
  "ef_mev_per_atom": 169,
  "dos_ef_per_ev_fu": 3.93,
  "space_group": "P3m1 (156)",
  "m_tot_mub_per_atom": 0.197
}

=====

Record 3
{
  "formula": "Pm2PaRuO8",
  "functional": "GGA-PBE",
  "state": "relaxed",
  "cell": [[3.5821, -3.6777, 0.0000], [3.5821, 3.6777, 0.0000], [0.0000, 0.0000, 6.8686]],
  "species": ["Pm", "Pm", "Pa", "Ru", "O", "O", "O", "O", "O", "O", "O", "O"],
  "fractional_positions": [[0.0000, 0.0000, 0.2399], [0.0000, 0.0000, 0.7601], [0.5000, 0.5000, 0.5000], [0.5000, 0.5000, 0.0000], [0.2053, 0.2053, 0.5000], [0.2293, 0.2293, 0.0000], [0.3242, 0.6758, 0.2311], [0.3242, 0.6758, 0.7689], [0.6758, 0.3242, 0.2311], [0.6758, 0.3242, 0.7689], [0.7707, 0.7707, 0.0000], [0.7947, 0.7947, 0.5000]],
  "dos_ef_per_ev_fu": 0.56,
  "space_group": "Cmmm (65)",
  "total_energy_ev_per_atom": -8.330,
  "m_tot_mub_per_atom": 0.251
}